Density functional theory data (PBE+U) for an optimized crystal structure of Eu2InFeO6.

Summary:
calculated total energy = -7.8144 eV per atom
space group = Fm-3m, No. 225

a b c (Å): 5.6867 5.6867 5.6867
angles (deg): 60.00 60.00 60.00
Element x y z (fractional)
Eu (0.2500, 0.2500, 0.2500)
Eu (0.7500, 0.7500, 0.7500)
In (0.0000, 0.0000, 0.0000)
Fe (0.5000, 0.5000, 0.5000)
O (0.2602, 0.2602, 0.7398)
O (0.2602, 0.7398, 0.2602)
O (0.2602, 0.7398, 0.7398)
O (0.7398, 0.2602, 0.2602)
O (0.7398, 0.2602, 0.7398)
O (0.7398, 0.7398, 0.2602)